ZrSc2Zn2 | the Alexandria database | GGA-PBEsol | optimized geometry; calculated volume = 191.43 Å³ per cell; space group = P4/mbm (127); ΔE_f = -0.210 eV/atom
1.0
-1.4391 -1.8088 2.3056
6.2623 0.5850 4.3676
-2.8329 6.3479 3.2116
Sc Zn Zr
4 4 2
direct
0.5000 0.1740 0.6740 Sc
0.5000 0.6740 0.8260 Sc
0.5000 0.8260 0.3260 Sc
0.5000 0.3260 0.1740 Sc
0.0000 0.3767 0.8767 Zn
0.0000 0.8767 0.6233 Zn
0.0000 0.6233 0.1233 Zn
0.0000 0.1233 0.3767 Zn
0.0000 0.0000 0.0000 Zr
0.0000 0.5000 0.5000 Zr

***

ZrSc2Zn | the Alexandria database | GGA-PBEsol | optimized geometry; calculated volume = 80.95 Å³ per cell; space group = P4/mmm (123); ΔE_f = -0.196 eV/atom
1.0
-3.1564 -0.4335 0.0386
0.4352 -3.1473 0.2401
0.0137 0.6083 7.9498
Sc Zn Zr
2 1 1
direct
0.0000 0.0000 0.7765 Sc
0.0000 0.0000 0.2235 Sc
0.5000 0.5000 0.0000 Zn
0.5000 0.5000 0.5000 Zr

***

ZrScZn4 | the Alexandria database | GGA-PBEsol | optimized geometry; calculated volume = 96.74 Å³ per cell; space group = F-43m (216); ΔE_f = -0.315 eV/atom
1.0
5.1527 0.0000 0.0000
2.5764 4.4624 0.0000
2.5764 1.4875 4.2072
Sc Zn Zr
1 4 1
direct
0.0000 0.0000 0.0000 Sc
0.3753 0.3753 0.3753 Zn
0.3753 0.3753 0.8741 Zn
0.8741 0.3753 0.3753 Zn
0.3753 0.8741 0.3753 Zn
0.7500 0.7500 0.7500 Zr

***

ZrScZn | the Alexandria database | GGA-PBEsol | optimized geometry; calculated volume = 58.44 Å³ per cell; space group = I4mm (107); energy relative to the lowest polymorph listed for this composition = 0 meV/atom; ΔE_f = -0.222 eV/atom
1.0
-1.2000 2.5615 -1.4222
-2.8217 -0.5968 1.3060
3.4628 2.2633 4.6785
Sc Zn Zr
1 1 1
direct
0.9899 0.9899 0.9797 Sc
0.3342 0.3342 0.6684 Zn
0.6759 0.6759 0.3519 Zr